# AgGe2TeS6 PBE-GGA optimized geometry
# * energy relative to the elements, uncorrected: -0.062 eV/atom
# * Fermi-level density of states: 16.2 states/eV/cell
# * volume: 23.183 Å³ per atom
data_AgGe2TeS6
_cell_length_a 12.7288
_cell_length_b 11.0466
_cell_length_c 6.9728
_cell_angle_alpha 90.00
_cell_angle_beta 108.95
_cell_angle_gamma 90.00
_symmetry_space_group_name_H-M 'C 1 2/c 1'
_symmetry_Int_Tables_number 15
_symmetry_space_group_name_Hall '-C 2yc'
loop_
_atom_site_label
_atom_site_fract_x
_atom_site_fract_y
_atom_site_fract_z
_atom_site_occupancy
Ag1 0.0000 0.1089 0.2500 1
Ge1 0.2100 0.4125 0.2248 1
Te1 0.0000 0.2887 0.7500 1
S1 0.1042 0.0919 0.6521 1
S2 0.1309 0.4469 0.4756 1
S3 0.1392 0.2313 0.1106 1